# 1
# NiBiPt2 GGA-PBE optimized geometry
# Energy of formation ... 0.10 eV/atom
# Total magnetic moment ... 0.0000 μB/atom
# V ... 18.2 Å³/atom
# Space-group type ... I-42d
data_NiBiPt2
_cell_length_a 3.916
_cell_length_b 3.916
_cell_length_c 18.938
_cell_angle_alpha 90.00
_cell_angle_beta 90.00
_cell_angle_gamma 90.00
_symmetry_space_group_name_H-M 'P 1'
_symmetry_Int_Tables_number 1
loop_
_symmetry_equiv_pos_as_xyz
'x,y,z'
loop_
_atom_site_label
_atom_site_fract_x
_atom_site_fract_y
_atom_site_fract_z
Ni1 0.000 0.000 0.000
Ni2 0.000 0.500 0.250
Ni3 0.500 0.000 0.750
Ni4 0.500 0.500 0.500
Bi1 0.000 0.000 0.500
Bi2 0.000 0.500 0.750
Bi3 0.500 0.000 0.250
Bi4 0.500 0.500 0.000
Pt1 0.229 0.250 0.125
Pt2 0.250 0.729 0.375
Pt3 0.250 0.771 0.875
Pt4 0.271 0.250 0.625
Pt5 0.729 0.750 0.625
Pt6 0.750 0.229 0.875
Pt7 0.750 0.271 0.375
Pt8 0.771 0.750 0.125

---

# 2
# NiBiPt3 GGA-PBE optimized geometry
# Energy of formation ... 1.50 eV/atom
# Total magnetic moment ... 0.2081 μB/atom
# V ... 25.9 Å³/atom
# Space-group type ... Pm-3m
# E above lowest polymorph ... 1552.3 meV/atom
data_NiBiPt3
_cell_length_a 5.057
_cell_length_b 5.057
_cell_length_c 5.057
_cell_angle_alpha 90.00
_cell_angle_beta 90.00
_cell_angle_gamma 90.00
_symmetry_space_group_name_H-M 'P 1'
_symmetry_Int_Tables_number 1
loop_
_symmetry_equiv_pos_as_xyz
'x,y,z'
loop_
_atom_site_label
_atom_site_fract_x
_atom_site_fract_y
_atom_site_fract_z
Ni1 0.000 0.000 0.000
Bi1 0.500 0.500 0.500
Pt1 0.000 0.500 0.500
Pt2 0.500 0.000 0.500
Pt3 0.500 0.500 0.000

---

# 3
# Ni3BiPt GGA-PBE optimized geometry
# Energy of formation ... 0.81 eV/atom
# Total magnetic moment ... 0.4949 μB/atom
# V ... 19.8 Å³/atom
# Space-group type ... Pm-3m
# E above lowest polymorph ... 0.0 meV/atom
data_Ni3BiPt
_cell_length_a 4.628
_cell_length_b 4.628
_cell_length_c 4.628
_cell_angle_alpha 90.00
_cell_angle_beta 90.00
_cell_angle_gamma 90.00
_symmetry_space_group_name_H-M 'P 1'
_symmetry_Int_Tables_number 1
loop_
_symmetry_equiv_pos_as_xyz
'x,y,z'
loop_
_atom_site_label
_atom_site_fract_x
_atom_site_fract_y
_atom_site_fract_z
Ni1 0.000 0.000 0.500
Ni2 0.000 0.500 0.000
Ni3 0.500 0.000 0.000
Bi1 0.500 0.500 0.500
Pt1 0.000 0.000 0.000

---

# 4
# NiBi3Pt GGA-PBE optimized geometry
# Energy of formation ... 0.44 eV/atom
# Total magnetic moment ... 0.0000 μB/atom
# V ... 25.7 Å³/atom
# Space-group type ... Pm-3m
# E above lowest polymorph ... 404.9 meV/atom
data_NiBi3Pt
_cell_length_a 5.048
_cell_length_b 5.048
_cell_length_c 5.048
_cell_angle_alpha 90.00
_cell_angle_beta 90.00
_cell_angle_gamma 90.00
_symmetry_space_group_name_H-M 'P 1'
_symmetry_Int_Tables_number 1
loop_
_symmetry_equiv_pos_as_xyz
'x,y,z'
loop_
_atom_site_label
_atom_site_fract_x
_atom_site_fract_y
_atom_site_fract_z
Ni1 0.000 0.000 0.000
Bi1 0.000 0.000 0.500
Bi2 0.000 0.500 0.000
Bi3 0.500 0.000 0.000
Pt1 0.500 0.500 0.500

---

# 5
# NiBi6Pt GGA-PBE optimized geometry
# Energy of formation ... 0.05 eV/atom
# Total magnetic moment ... 0.0000 μB/atom
# V ... 28.1 Å³/atom
# Space-group type ... C2/m
# E above lowest polymorph ... 135.8 meV/atom
data_NiBi6Pt
_cell_length_a 6.218
_cell_length_b 10.870
_cell_length_c 7.337
_cell_angle_alpha 90.00
_cell_angle_beta 114.83
_cell_angle_gamma 90.00
_symmetry_space_group_name_H-M 'P 1'
_symmetry_Int_Tables_number 1
loop_
_symmetry_equiv_pos_as_xyz
'x,y,z'
loop_
_atom_site_label
_atom_site_fract_x
_atom_site_fract_y
_atom_site_fract_z
Ni1 0.000 0.000 0.000
Ni2 0.500 0.500 0.000
Bi1 0.003 0.500 0.212
Bi2 0.077 0.183 0.260
Bi3 0.077 0.817 0.260
Bi4 0.423 0.317 0.740
Bi5 0.423 0.683 0.740
Bi6 0.497 0.000 0.788
Bi7 0.503 0.000 0.212
Bi8 0.577 0.317 0.260
Bi9 0.577 0.683 0.260
Bi10 0.923 0.183 0.740
Bi11 0.923 0.817 0.740
Bi12 0.997 0.500 0.788
Pt1 0.000 0.000 0.500
Pt2 0.500 0.500 0.500

---

# 6
# Ni2Bi2Pt GGA-PBE optimized geometry
# Energy of formation ... 0.05 eV/atom
# Total magnetic moment ... 0.0000 μB/atom
# V ... 18.2 Å³/atom
# Space-group type ... P4/mbm
data_Ni2Bi2Pt
_cell_length_a 6.973
_cell_length_b 6.973
_cell_length_c 3.737
_cell_angle_alpha 90.00
_cell_angle_beta 90.00
_cell_angle_gamma 90.00
_symmetry_space_group_name_H-M 'P 1'
_symmetry_Int_Tables_number 1
loop_
_symmetry_equiv_pos_as_xyz
'x,y,z'
loop_
_atom_site_label
_atom_site_fract_x
_atom_site_fract_y
_atom_site_fract_z
Ni1 0.128 0.372 0.000
Ni2 0.372 0.872 0.000
Ni3 0.628 0.128 0.000
Ni4 0.872 0.628 0.000
Bi1 0.175 0.675 0.500
Bi2 0.325 0.175 0.500
Bi3 0.675 0.825 0.500
Bi4 0.825 0.325 0.500
Pt1 0.000 0.000 0.000
Pt2 0.500 0.500 0.000

---

# 7
# NiBi3Pt GGA-PBE optimized geometry
# Energy of formation ... 0.79 eV/atom
# Total magnetic moment ... 0.0000 μB/atom
# V ... 31.4 Å³/atom
# Space-group type ... Pm-3m
# E above lowest polymorph ... 756.3 meV/atom
data_NiBi3Pt
_cell_length_a 5.393
_cell_length_b 5.393
_cell_length_c 5.393
_cell_angle_alpha 90.00
_cell_angle_beta 90.00
_cell_angle_gamma 90.00
_symmetry_space_group_name_H-M 'P 1'
_symmetry_Int_Tables_number 1
loop_
_symmetry_equiv_pos_as_xyz
'x,y,z'
loop_
_atom_site_label
_atom_site_fract_x
_atom_site_fract_y
_atom_site_fract_z
Ni1 0.000 0.000 0.000
Bi1 0.000 0.500 0.500
Bi2 0.500 0.000 0.500
Bi3 0.500 0.500 0.000
Pt1 0.500 0.500 0.500

---

# 8
# NiBi3Pt GGA-PBE optimized geometry
# Energy of formation ... 0.03 eV/atom
# Total magnetic moment ... 0.0000 μB/atom
# V ... 25.0 Å³/atom
# Space-group type ... Ima2
# E above lowest polymorph ... 0.0 meV/atom
data_NiBi3Pt
_cell_length_a 7.116
_cell_length_b 7.116
_cell_length_c 7.116
_cell_angle_alpha 89.03
_cell_angle_beta 116.17
_cell_angle_gamma 125.16
_symmetry_space_group_name_H-M 'P 1'
_symmetry_Int_Tables_number 1
loop_
_symmetry_equiv_pos_as_xyz
'x,y,z'
loop_
_atom_site_label
_atom_site_fract_x
_atom_site_fract_y
_atom_site_fract_z
Ni1 0.191 0.250 0.441
Ni2 0.809 0.750 0.559
Bi1 0.058 0.226 0.751
Bi2 0.058 0.807 0.331
Bi3 0.475 0.307 0.249
Bi4 0.475 0.726 0.669
Bi5 0.661 0.001 0.160
Bi6 0.842 0.501 0.840
Pt1 0.301 0.582 0.219
Pt2 0.362 0.082 0.781

---

# 9
# Ni2BiPt GGA-PBE optimized geometry
# Energy of formation ... 0.28 eV/atom
# Total magnetic moment ... 0.0000 μB/atom
# V ... 17.8 Å³/atom
# Space-group type ... I-42d
data_Ni2BiPt
_cell_length_a 3.994
_cell_length_b 3.994
_cell_length_c 17.838
_cell_angle_alpha 90.00
_cell_angle_beta 90.00
_cell_angle_gamma 90.00
_symmetry_space_group_name_H-M 'P 1'
_symmetry_Int_Tables_number 1
loop_
_symmetry_equiv_pos_as_xyz
'x,y,z'
loop_
_atom_site_label
_atom_site_fract_x
_atom_site_fract_y
_atom_site_fract_z
Ni1 0.186 0.250 0.125
Ni2 0.250 0.686 0.375
Ni3 0.250 0.814 0.875
Ni4 0.314 0.250 0.625
Ni5 0.686 0.750 0.625
Ni6 0.750 0.186 0.875
Ni7 0.750 0.314 0.375
Ni8 0.814 0.750 0.125
Bi1 0.000 0.000 0.500
Bi2 0.000 0.500 0.750
Bi3 0.500 0.000 0.250
Bi4 0.500 0.500 0.000
Pt1 0.000 0.000 0.000
Pt2 0.000 0.500 0.250
Pt3 0.500 0.000 0.750
Pt4 0.500 0.500 0.500

---

# 10
# NiBi2Pt GGA-PBE optimized geometry
# Energy of formation ... 0.31 eV/atom
# Total magnetic moment ... 0.0000 μB/atom
# V ... 23.0 Å³/atom
# Space-group type ... R-3m
data_NiBi2Pt
_cell_length_a 3.443
_cell_length_b 3.443
_cell_length_c 26.833
_cell_angle_alpha 90.00
_cell_angle_beta 90.00
_cell_angle_gamma 120.00
_symmetry_space_group_name_H-M 'P 1'
_symmetry_Int_Tables_number 1
loop_
_symmetry_equiv_pos_as_xyz
'x,y,z'
loop_
_atom_site_label
_atom_site_fract_x
_atom_site_fract_y
_atom_site_fract_z
Ni1 0.000 0.000 0.000
Ni2 0.333 0.667 0.667
Ni3 0.667 0.333 0.333
Bi1 0.000 0.000 0.401
Bi2 0.000 0.000 0.599
Bi3 0.333 0.667 0.068
Bi4 0.333 0.667 0.266
Bi5 0.667 0.333 0.734
Bi6 0.667 0.333 0.932
Pt1 0.000 0.000 0.500
Pt2 0.333 0.667 0.167
Pt3 0.667 0.333 0.833

---

# 11
# NiBi4Pt GGA-PBE optimized geometry
# Energy of formation ... -0.11 eV/atom
# Total magnetic moment ... 0.0000 μB/atom
# V ... 25.1 Å³/atom
# Space-group type ... P2_1/c
# E above lowest polymorph ... 0.0 meV/atom
data_NiBi4Pt
_cell_length_a 6.708
_cell_length_b 6.703
_cell_length_c 6.706
_cell_angle_alpha 90.00
_cell_angle_beta 90.37
_cell_angle_gamma 90.00
_symmetry_space_group_name_H-M 'P 1'
_symmetry_Int_Tables_number 1
loop_
_symmetry_equiv_pos_as_xyz
'x,y,z'
loop_
_atom_site_label
_atom_site_fract_x
_atom_site_fract_y
_atom_site_fract_z
Ni1 0.000 0.000 0.000
Ni2 0.000 0.500 0.500
Bi1 0.125 0.138 0.638
Bi2 0.125 0.362 0.138
Bi3 0.359 0.627 0.627
Bi4 0.359 0.873 0.127
Bi5 0.641 0.127 0.873
Bi6 0.641 0.373 0.373
Bi7 0.875 0.638 0.862
Bi8 0.875 0.862 0.362
Pt1 0.500 0.000 0.500
Pt2 0.500 0.500 0.000

---

# 12
# NiBiPt3 GGA-PBE optimized geometry
# Energy of formation ... 0.60 eV/atom
# Total magnetic moment ... 0.2560 μB/atom
# V ... 20.0 Å³/atom
# Space-group type ... Pm-3m
# E above lowest polymorph ... 650.6 meV/atom
data_NiBiPt3
_cell_length_a 4.642
_cell_length_b 4.642
_cell_length_c 4.642
_cell_angle_alpha 90.00
_cell_angle_beta 90.00
_cell_angle_gamma 90.00
_symmetry_space_group_name_H-M 'P 1'
_symmetry_Int_Tables_number 1
loop_
_symmetry_equiv_pos_as_xyz
'x,y,z'
loop_
_atom_site_label
_atom_site_fract_x
_atom_site_fract_y
_atom_site_fract_z
Ni1 0.000 0.000 0.000
Bi1 0.500 0.500 0.500
Pt1 0.000 0.000 0.500
Pt2 0.000 0.500 0.000
Pt3 0.500 0.000 0.000